(1)
## SrP2RhO (PBE-GGA)

Data for a geometry-optimized SrP2RhO structure.

```
SrP2RhO
1.0
-0.342 -4.317 3.327
0.272 -3.343 -4.309
4.128 -0.079 0.322
Sr Rh O P
1 1 1 2
Cartesian
0.000 0.000 0.000 Sr
2.029 -3.869 -0.330 Rh
2.064 -0.039 0.161 O
0.136 -1.672 -2.155 P
-0.171 -2.158 1.664 P
```

Properties
- Crystal system: tetragonal
- E above lowest polymorph: 1593 meV per atom



(2)
## SrPRhO2 (PBE-GGA)

Data for a geometry-optimized SrPRhO2 structure.

```
SrPRhO2
1.0
-1.184 -3.041 -2.735
-0.566 -2.698 3.245
-4.205 1.314 0.359
Sr Rh O P
1 1 2 1
Cartesian
-2.977 -2.213 0.435 Sr
0.000 0.000 0.000 Rh
-0.283 -1.349 1.623 O
-0.592 -1.521 -1.367 O
-2.102 0.657 0.180 P
```

Properties
- Crystal system: tetragonal
- E above lowest polymorph: 0 meV per atom



(3)
## SrPRhO5 (PBE-GGA)

Data for a geometry-optimized SrPRhO5 structure.

```
SrPRhO5
1.0
-0.670 -5.085 -2.658
1.952 -1.246 5.293
-6.611 1.673 1.373
Sr P Rh O
2 2 2 10
Cartesian
-0.621 -2.176 2.843 Sr
-4.707 -2.482 1.164 Sr
-1.532 -3.509 0.084 P
-3.797 -1.150 3.924 P
-3.305 0.836 0.686 Rh
0.000 0.000 0.000 Rh
0.085 -1.142 4.984 O
-5.413 -3.516 -0.976 O
-0.919 -4.821 -0.532 O
-4.410 0.162 4.540 O
-2.659 -2.951 -0.861 O
-2.669 -1.708 4.869 O
-2.176 -3.763 1.475 O
-3.153 -0.895 2.532 O
-0.368 -2.495 0.266 O
-4.960 -2.164 3.741 O
```

Properties
- Crystal system: monoclinic



(4)
## TaP2RhO (PBE-GGA)

Data for a geometry-optimized TaP2RhO structure.

```
TaP2RhO
1.0
4.894 0.000 0.000
0.000 4.894 0.000
0.000 0.000 3.773
P Rh O Ta
2 1 1 1
Cartesian
0.000 2.447 0.000 P
2.447 0.000 0.000 P
2.447 2.447 1.887 Rh
0.000 0.000 1.887 O
0.000 0.000 0.000 Ta
```

Properties
- Crystal system: tetragonal
- E above lowest polymorph: 0 meV per atom



(5)
## TaP2RhO (PBE-GGA)

Data for a geometry-optimized TaP2RhO structure.

```
TaP2RhO
1.0
-3.973 -0.158 -2.585
-1.659 -3.479 2.763
-1.512 2.449 2.175
P Rh O Ta
2 1 1 1
Cartesian
-0.830 -1.739 1.381 P
-1.986 -0.079 -1.292 P
0.000 0.000 0.000 Rh
-0.756 1.225 1.088 O
-3.572 -0.594 1.177 Ta
```

Properties
- Crystal system: tetragonal
- E above lowest polymorph: 510 meV per atom



(6)
## TcP2RhO (PBE-GGA)

Data for a geometry-optimized TcP2RhO structure.

```
TcP2RhO
1.0
-4.017 2.506 -0.108
-2.464 -3.905 1.049
0.359 0.728 3.553
P Rh Tc O
2 1 1 1
Cartesian
-1.232 -1.953 0.524 P
-2.008 1.253 -0.054 P
0.000 0.000 0.000 Rh
-3.061 -0.336 2.247 Tc
0.179 0.364 1.776 O
```

Properties
- Crystal system: tetragonal
- E above lowest polymorph: 433 meV per atom



Result set for E_form (uncorrected): 6.2; -3.5; -16.0; -0.6; 2.0; 3.0 eV/f.u., one per record in the order listed.